# BaSr3Cd4 PBE-GGA relaxed
data_BaSr3Cd4
_symmetry_space_group_name_H-M 'P 1'
_symmetry_Int_Tables_number 1
_symmetry_space_group_name_Hall 'P 1'
_cell_length_a 11.6822
_cell_length_b 8.1482
_cell_length_c 5.8400
_cell_angle_alpha 90.00
_cell_angle_beta 90.00
_cell_angle_gamma 90.00
loop_
_atom_site_label
_atom_site_fract_x
_atom_site_fract_y
_atom_site_fract_z
_atom_site_occupancy
Ba1 0.0000 0.0000 0.0000 1
Ba2 0.5000 0.0000 0.0000 1
Sr1 0.0000 0.5000 0.0000 1
Sr2 0.2500 0.0000 0.4986 1
Sr3 0.2500 0.5000 0.4988 1
Sr4 0.5000 0.5000 0.0000 1
Sr5 0.7500 0.0000 0.5014 1
Sr6 0.7500 0.5000 0.5012 1
Cd1 0.0000 0.2602 0.5000 1
Cd2 0.0000 0.7398 0.5000 1
Cd3 0.2500 0.2601 0.9978 1
Cd4 0.2500 0.7399 0.9978 1
Cd5 0.5000 0.2602 0.5000 1
Cd6 0.5000 0.7398 0.5000 1
Cd7 0.7500 0.2601 0.0022 1
Cd8 0.7500 0.7399 0.0022 1
# Spin magnetization (μB/atom): 0.000
# Electronic total energy (Ry/atom): -0.1215
# SG: Pmma (51)

# Ba2Sr6Cd PBE-GGA relaxed
data_Ba2Sr6Cd
_symmetry_space_group_name_H-M 'P 1'
_symmetry_Int_Tables_number 1
_symmetry_space_group_name_Hall 'P 1'
_cell_length_a 11.1971
_cell_length_b 11.1971
_cell_length_c 11.1971
_cell_angle_alpha 158.01
_cell_angle_beta 113.31
_cell_angle_gamma 71.16
loop_
_atom_site_label
_atom_site_fract_x
_atom_site_fract_y
_atom_site_fract_z
_atom_site_occupancy
Ba1 0.1307 0.1307 0.0000 1
Ba2 0.8693 0.8693 0.0000 1
Sr1 0.1668 0.8218 0.3450 1
Sr2 0.2597 0.5000 0.7597 1
Sr3 0.4769 0.8218 0.6550 1
Sr4 0.5231 0.1782 0.3450 1
Sr5 0.7403 0.5000 0.2403 1
Sr6 0.8332 0.1782 0.6550 1
Cd1 0.5000 0.0000 0.5000 1
# Spin magnetization (μB/atom): 0.000
# SG: Immm (71)
# E above lowest polymorph (meV/atom): 27

# BaSr2Cd9 PBE-GGA relaxed
data_BaSr2Cd9
_symmetry_space_group_name_H-M 'P 1'
_symmetry_Int_Tables_number 1
_symmetry_space_group_name_Hall 'P 1'
_cell_length_a 10.4109
_cell_length_b 10.4109
_cell_length_c 10.4109
_cell_angle_alpha 35.18
_cell_angle_beta 35.18
_cell_angle_gamma 35.18
loop_
_atom_site_label
_atom_site_fract_x
_atom_site_fract_y
_atom_site_fract_z
_atom_site_occupancy
Ba1 0.0000 0.0000 0.0000 1
Sr1 0.1437 0.1437 0.1437 1
Sr2 0.8563 0.8563 0.8563 1
Cd1 0.0752 0.5885 0.5885 1
Cd2 0.3358 0.3358 0.3358 1
Cd3 0.4115 0.4115 0.9248 1
Cd4 0.4115 0.9248 0.4115 1
Cd5 0.5000 0.5000 0.5000 1
Cd6 0.5885 0.0752 0.5885 1
Cd7 0.5885 0.5885 0.0752 1
Cd8 0.6642 0.6642 0.6642 1
Cd9 0.9248 0.4115 0.4115 1
# Spin magnetization (μB/atom): 0.000
# Electronic total energy (Ry/atom): -0.1034
# SG: R-3m (166)

# Ba5Sr4Cd PBE-GGA relaxed
data_Ba5Sr4Cd
_symmetry_space_group_name_H-M 'P 1'
_symmetry_Int_Tables_number 1
_symmetry_space_group_name_Hall 'P 1'
_cell_length_a 4.3630
_cell_length_b 4.3630
_cell_length_c 29.1381
_cell_angle_alpha 90.00
_cell_angle_beta 90.00
_cell_angle_gamma 90.00
loop_
_atom_site_label
_atom_site_fract_x
_atom_site_fract_y
_atom_site_fract_z
_atom_site_occupancy
Ba1 0.0000 0.0000 0.0000 1
Ba2 0.0000 0.0000 0.2138 1
Ba3 0.0000 0.0000 0.4311 1
Ba4 0.0000 0.0000 0.5689 1
Ba5 0.0000 0.0000 0.7862 1
Sr1 0.5000 0.5000 0.1066 1
Sr2 0.5000 0.5000 0.3211 1
Sr3 0.5000 0.5000 0.6789 1
Sr4 0.5000 0.5000 0.8934 1
Cd1 0.5000 0.5000 0.5000 1
# Spin magnetization (μB/atom): 0.000
# Electronic total energy (Ry/atom): -0.1310
# SG: P4/mmm (123)

# BaSr4Cd4 PBE-GGA relaxed
data_BaSr4Cd4
_symmetry_space_group_name_H-M 'P 1'
_symmetry_Int_Tables_number 1
_symmetry_space_group_name_Hall 'P 1'
_cell_length_a 10.7945
_cell_length_b 10.7945
_cell_length_c 6.7427
_cell_angle_alpha 90.00
_cell_angle_beta 90.00
_cell_angle_gamma 90.00
loop_
_atom_site_label
_atom_site_fract_x
_atom_site_fract_y
_atom_site_fract_z
_atom_site_occupancy
Ba1 0.2500 0.2500 0.2500 1
Ba2 0.7500 0.7500 0.7500 1
Sr1 0.0868 0.6516 0.1375 1
Sr2 0.1516 0.9132 0.6375 1
Sr3 0.3484 0.5868 0.6375 1
Sr4 0.4132 0.8484 0.1375 1
Sr5 0.5868 0.1516 0.8625 1
Sr6 0.6516 0.4132 0.3625 1
Sr7 0.8484 0.0868 0.3625 1
Sr8 0.9132 0.3484 0.8625 1
Cd1 0.0344 0.6035 0.6331 1
Cd2 0.1035 0.9656 0.1331 1
Cd3 0.3965 0.5344 0.1331 1
Cd4 0.4656 0.8965 0.6331 1
Cd5 0.5344 0.1035 0.3669 1
Cd6 0.6035 0.4656 0.8669 1
Cd7 0.8965 0.0344 0.8669 1
Cd8 0.9656 0.3965 0.3669 1
# Spin magnetization (μB/atom): 0.000
# Electronic total energy (Ry/atom): -0.1132
# SG: P4_2/n (86)

# BaSrCdTc2 PBE-GGA relaxed
data_BaSrCdTc2
_symmetry_space_group_name_H-M 'P 1'
_symmetry_Int_Tables_number 1
_symmetry_space_group_name_Hall 'P 1'
_cell_length_a 5.2980
_cell_length_b 5.2980
_cell_length_c 5.8706
_cell_angle_alpha 90.00
_cell_angle_beta 90.00
_cell_angle_gamma 90.00
loop_
_atom_site_label
_atom_site_fract_x
_atom_site_fract_y
_atom_site_fract_z
_atom_site_occupancy
Ba1 0.0000 0.0000 0.0000 1
Sr1 0.5000 0.5000 0.0000 1
Cd1 0.0000 0.0000 0.5000 1
Tc1 0.0000 0.5000 0.5000 1
Tc2 0.5000 0.0000 0.5000 1
# Spin magnetization (μB/atom): 0.901
# Electronic total energy (Ry/atom): -0.2672
# SG: P4/mmm (123)